No. 1
{"formula": "ZrNiAgAu", "functional": "PBE", "state": "optimized geometry", "space_group": "F-43m", "formation_energy_ev_per_fu": -0.88, "lattice_angstrom": [[0.0000, 3.2557, 3.2557], [3.2557, 0.0000, 3.2557], [3.2557, 3.2557, 0.0000]], "species": ["Zr", "Ni", "Ag", "Au"], "frac_coords": [[0.0000, 0.0000, 0.0000], [0.2500, 0.2500, 0.2500], [0.5000, 0.5000, 0.5000], [0.7500, 0.7500, 0.7500]]}

No. 2
{"formula": "Sr4SiH", "functional": "PBE", "state": "optimized geometry", "dft_energy_ev_per_atom": -2.817, "space_group": "Amm2", "lattice_angstrom": [[5.3608, 0.0000, 0.0000], [0.0000, 2.6844, 7.1617], [0.0000, -2.6844, 7.1617]], "species": ["Sr", "Sr", "Sr", "Sr", "Si", "H"], "frac_coords": [[0.0000, 0.0000, 0.0000], [0.0000, 0.2571, 0.2571], [0.5000, 0.4782, 0.4782], [0.5000, 0.7456, 0.7456], [0.0000, 0.6173, 0.6173], [0.5000, 0.2852, 0.2852]]}

Repeat the second record exactly.
{"formula": "Sr4SiH", "functional": "PBE", "state": "optimized geometry", "dft_energy_ev_per_atom": -2.817, "space_group": "Amm2", "lattice_angstrom": [[5.3608, 0.0000, 0.0000], [0.0000, 2.6844, 7.1617], [0.0000, -2.6844, 7.1617]], "species": ["Sr", "Sr", "Sr", "Sr", "Si", "H"], "frac_coords": [[0.0000, 0.0000, 0.0000], [0.0000, 0.2571, 0.2571], [0.5000, 0.4782, 0.4782], [0.5000, 0.7456, 0.7456], [0.0000, 0.6173, 0.6173], [0.5000, 0.2852, 0.2852]]}